# 1
K2InCu | PBE-GGA | optimized geometry

* DFT formation energy: 0.32 eV per atom
* space group: Cmmm
* total moment: 0.000 μB per atom

Cell lengths 6.052, 6.052, 4.014 Å; angles 90.00, 90.00, 110.60 degrees
Element x y z (fractional)
K (0.500, 0.500, 0.000)
Cu (0.500, 0.000, 0.500)
K (0.000, 0.000, 0.000)
In (0.000, 0.500, 0.500)

# 2
KIn3Cu | PBE-GGA | optimized geometry

* DFT formation energy: 0.05 eV per atom
* space group: Pm-3m
* energy above the lowest structure with this stoichiometry: 0.0404 eV/atom
* total moment: 0.000 μB per atom

Cell lengths 5.261, 5.261, 5.261 Å; angles 90.00, 90.00, 90.00 degrees
Element x y z (fractional)
In (0.000, 0.500, 0.000)
In (0.000, 0.000, 0.500)
In (0.500, 0.000, 0.000)
K (0.500, 0.500, 0.500)
Cu (0.000, 0.000, 0.000)

# 3
K2InCu | PBE-GGA | optimized geometry

* DFT formation energy: 0.17 eV per atom
* space group: I-42d
* total moment: 0.000 μB per atom

Cell lengths 12.232, 12.232, 9.008 Å; angles 47.24, 47.24, 90.00 degrees
Element x y z (fractional)
K (0.456, 0.125, 0.250)
K (0.294, 0.625, 0.250)
Cu (0.250, 0.750, 0.500)
K (0.375, 0.544, 0.750)
K (0.875, 0.706, 0.750)
In (0.750, 0.250, 0.500)
Cu (0.500, 0.500, 0.000)
In (0.000, 0.000, 0.000)